# 1
Here is an optimized crystal structure of Ac2PmDyTm from Alexandria via LeMat-Bulk. Energies are from PBE.

Computed properties:
ρ   8.02 Mg/m³
Size of the total moment   0.00 μB/f.u.
Symmetry   No. 51
Energy relative to the elements   271 meV/atom
Density of states at the Fermi level   1.228 states/eV per atom

a b c (Å): 6.422 8.987 6.674
angles (deg): 90.00 90.00 90.00
Fractional coordinates of all 10 atoms:
1 Ac 0.250 0.204 0.213
2 Ac 0.250 0.796 0.213
3 Ac 0.750 0.204 0.787
4 Ac 0.750 0.796 0.787
5 Pm 0.250 0.500 0.919
6 Pm 0.750 0.500 0.081
7 Dy 0.250 0.000 0.685
8 Dy 0.750 0.000 0.315
9 Tm 0.000 0.500 0.500
10 Tm 0.500 0.500 0.500

***

# 2
Here is an optimized crystal structure of AcPm2DyTm from Alexandria via LeMat-Bulk. Energies are from PBE.

Computed properties:
ρ   7.50 Mg/m³
Size of the total moment   0.00 μB/f.u.
Symmetry   No. 63
Energy relative to the elements   355 meV/atom
Density of states at the Fermi level   1.326 states/eV per atom

a b c (Å): 7.371 7.371 7.347
angles (deg): 90.00 90.00 109.73
Fractional coordinates of all 10 atoms:
1 Ac 0.248 0.752 0.750
2 Ac 0.752 0.248 0.250
3 Pm 0.306 0.306 0.000
4 Pm 0.306 0.306 0.500
5 Pm 0.694 0.694 0.000
6 Pm 0.694 0.694 0.500
7 Dy 0.042 0.958 0.250
8 Dy 0.958 0.042 0.750
9 Tm 0.302 0.698 0.250
10 Tm 0.698 0.302 0.750

***

# 3
Here is an optimized crystal structure of AcPm3DyTm from Alexandria via LeMat-Bulk. Energies are from PBE.

Computed properties:
ρ   7.90 Mg/m³
Size of the total moment   0.00 μB/f.u.
Symmetry   No. 11
Energy relative to the elements   44 meV/atom
Density of states at the Fermi level   1.641 states/eV per atom

a b c (Å): 8.182 5.197 10.371
angles (deg): 90.00 108.69 90.00
Fractional coordinates of all 12 atoms:
1 Ac 0.171 0.250 0.293
2 Ac 0.829 0.750 0.707
3 Pm 0.173 0.750 0.040
4 Pm 0.173 0.750 0.547
5 Pm 0.174 0.250 0.793
6 Pm 0.826 0.750 0.207
7 Pm 0.827 0.250 0.453
8 Pm 0.827 0.250 0.960
9 Dy 0.496 0.750 0.877
10 Dy 0.504 0.250 0.123
11 Tm 0.497 0.250 0.628
12 Tm 0.503 0.750 0.372

***

# 4
Here is an optimized crystal structure of AcPmDy3Tm from Alexandria via LeMat-Bulk. Energies are from PBE.

Computed properties:
ρ   8.13 Mg/m³
Size of the total moment   0.00 μB/f.u.
Symmetry   No. 12
Energy relative to the elements   231 meV/atom
Density of states at the Fermi level   1.587 states/eV per atom

a b c (Å): 9.991 9.991 7.744
angles (deg): 91.72 91.72 32.95
Fractional coordinates of all 12 atoms:
1 Ac 0.139 0.139 0.024
2 Ac 0.861 0.861 0.976
3 Pm 0.452 0.452 0.708
4 Pm 0.548 0.548 0.292
5 Dy 0.025 0.025 0.697
6 Dy 0.280 0.280 0.751
7 Dy 0.335 0.335 0.292
8 Dy 0.665 0.665 0.708
9 Dy 0.720 0.720 0.249
10 Dy 0.975 0.975 0.303
11 Tm 0.155 0.155 0.447
12 Tm 0.845 0.845 0.553

***

# 5
Here is an optimized crystal structure of AcPm2DyTm4 from Alexandria via LeMat-Bulk. Energies are from PBE.

Computed properties:
ρ   8.21 Mg/m³
Size of the total moment   0.78 μB/f.u.
Symmetry   No. 74
Energy relative to the elements   442 meV/atom
Density of states at the Fermi level   2.383 states/eV per atom

a b c (Å): 9.597 9.597 9.597
angles (deg): 138.03 103.49 91.33
Fractional coordinates of all 16 atoms:
1 Ac 0.000 0.000 0.000
2 Ac 0.500 0.000 0.500
3 Pm 0.000 0.500 0.500
4 Pm 0.500 0.000 0.000
5 Pm 0.500 0.500 0.000
6 Pm 0.500 0.500 0.500
7 Dy 0.000 0.000 0.500
8 Dy 0.000 0.500 0.000
9 Tm 0.238 0.742 0.496
10 Tm 0.246 0.259 0.513
11 Tm 0.246 0.734 0.987
12 Tm 0.254 0.258 0.996
13 Tm 0.746 0.742 0.004
14 Tm 0.754 0.266 0.013
15 Tm 0.754 0.741 0.487
16 Tm 0.762 0.258 0.504

***

# 6
Here is an optimized crystal structure of AcPm2Dy5Tm from Alexandria via LeMat-Bulk. Energies are from PBE.

Computed properties:
ρ   8.18 Mg/m³
Size of the total moment   0.00 μB/f.u.
Symmetry   No. 140
Energy relative to the elements   266 meV/atom
Density of states at the Fermi level   1.056 states/eV per atom

a b c (Å): 9.959 9.959 9.959
angles (deg): 127.16 127.16 77.99
Fractional coordinates of all 18 atoms:
1 Ac 0.250 0.250 0.000
2 Ac 0.750 0.750 0.000
3 Pm 0.116 0.616 0.732
4 Pm 0.384 0.116 0.500
5 Pm 0.616 0.884 0.500
6 Pm 0.884 0.384 0.268
7 Dy 0.000 0.000 0.000
8 Dy 0.074 0.162 0.500
9 Dy 0.162 0.662 0.088
10 Dy 0.338 0.426 0.500
11 Dy 0.426 0.926 0.088
12 Dy 0.500 0.500 0.000
13 Dy 0.574 0.074 0.912
14 Dy 0.662 0.574 0.500
15 Dy 0.838 0.338 0.912
16 Dy 0.926 0.838 0.500
17 Tm 0.250 0.750 0.500
18 Tm 0.750 0.250 0.500

***

# 7
Here is an optimized crystal structure of AcPm2Dy5Y from Alexandria via LeMat-Bulk. Energies are from PBE.

Computed properties:
ρ   7.68 Mg/m³
Size of the total moment   0.00 μB/f.u.
Symmetry   No. 140
Energy relative to the elements   258 meV/atom
Density of states at the Fermi level   1.088 states/eV per atom

a b c (Å): 9.982 9.982 9.982
angles (deg): 127.11 127.11 78.08
Fractional coordinates of all 18 atoms:
1 Ac 0.250 0.250 0.000
2 Ac 0.750 0.750 0.000
3 Pm 0.116 0.616 0.732
4 Pm 0.384 0.116 0.500
5 Pm 0.616 0.884 0.500
6 Pm 0.884 0.384 0.268
7 Dy 0.000 0.000 0.000
8 Dy 0.075 0.162 0.500
9 Dy 0.162 0.662 0.087
10 Dy 0.338 0.425 0.500
11 Dy 0.425 0.925 0.087
12 Dy 0.500 0.500 0.000
13 Dy 0.575 0.075 0.913
14 Dy 0.662 0.575 0.500
15 Dy 0.838 0.338 0.913
16 Dy 0.925 0.838 0.500
17 Y 0.250 0.750 0.500
18 Y 0.750 0.250 0.500

***

# 8
Here is an optimized crystal structure of AcPm6Dy3Y2 from Alexandria via LeMat-Bulk. Energies are from PBE.

Computed properties:
ρ   7.16 Mg/m³
Size of the total moment   0.00 μB/f.u.
Symmetry   No. 12
Energy relative to the elements   26 meV/atom
Density of states at the Fermi level   1.310 states/eV per atom

a b c (Å): 6.306 6.306 12.058
angles (deg): 95.00 95.00 119.99
Fractional coordinates of all 12 atoms:
1 Ac 0.000 0.000 0.000
2 Pm 0.085 0.421 0.255
3 Pm 0.250 0.250 0.744
4 Pm 0.421 0.085 0.255
5 Pm 0.579 0.915 0.745
6 Pm 0.750 0.750 0.256
7 Pm 0.915 0.579 0.745
8 Dy 0.167 0.833 0.500
9 Dy 0.500 0.500 0.500
10 Dy 0.833 0.167 0.500
11 Y 0.333 0.667 0.000
12 Y 0.667 0.333 0.000

***

# 9
Here is an optimized crystal structure of AcPm2DyY6 from Alexandria via LeMat-Bulk. Energies are from PBE.

Computed properties:
ρ   5.87 Mg/m³
Size of the total moment   0.00 μB/f.u.
Symmetry   No. 15
Energy relative to the elements   124 meV/atom
Density of states at the Fermi level   1.605 states/eV per atom

a b c (Å): 8.974 8.974 9.701
angles (deg): 93.20 93.20 117.93
Fractional coordinates of all 20 atoms:
1 Ac 0.026 0.974 0.750
2 Ac 0.974 0.026 0.250
3 Pm 0.198 0.310 0.549
4 Pm 0.310 0.198 0.049
5 Pm 0.690 0.802 0.951
6 Pm 0.802 0.690 0.451
7 Dy 0.411 0.589 0.250
8 Dy 0.589 0.411 0.750
9 Y 0.017 0.561 0.683
10 Y 0.130 0.747 0.058
11 Y 0.253 0.870 0.442
12 Y 0.290 0.506 0.885
13 Y 0.439 0.983 0.817
14 Y 0.494 0.710 0.615
15 Y 0.506 0.290 0.385
16 Y 0.561 0.017 0.183
17 Y 0.710 0.494 0.115
18 Y 0.747 0.130 0.558
19 Y 0.870 0.253 0.942
20 Y 0.983 0.439 0.317

***

# 10
Here is an optimized crystal structure of AcPmDy3Y from Alexandria via LeMat-Bulk. Energies are from PBE.

Computed properties:
ρ   7.44 Mg/m³
Size of the total moment   0.00 μB/f.u.
Symmetry   No. 12
Energy relative to the elements   233 meV/atom
Density of states at the Fermi level   1.637 states/eV per atom

a b c (Å): 10.208 10.208 7.550
angles (deg): 90.98 90.98 32.56
Fractional coordinates of all 12 atoms:
1 Ac 0.141 0.141 0.024
2 Ac 0.859 0.859 0.976
3 Pm 0.450 0.450 0.711
4 Pm 0.550 0.550 0.289
5 Dy 0.023 0.023 0.707
6 Dy 0.281 0.281 0.755
7 Dy 0.334 0.334 0.285
8 Dy 0.666 0.666 0.715
9 Dy 0.719 0.719 0.245
10 Dy 0.977 0.977 0.293
11 Y 0.154 0.154 0.455
12 Y 0.846 0.846 0.545

***

# 11
Here is an optimized crystal structure of AcPm5Dy2Y from Alexandria via LeMat-Bulk. Energies are from PBE.

Computed properties:
ρ   7.04 Mg/m³
Size of the total moment   0.00 μB/f.u.
Symmetry   No. 36
Energy relative to the elements   145 meV/atom
Density of states at the Fermi level   1.283 states/eV per atom

a b c (Å): 12.455 12.455 9.517
angles (deg): 90.00 90.00 154.12
Fractional coordinates of all 18 atoms:
1 Ac 0.102 0.898 0.500
2 Ac 0.898 0.102 0.000
3 Pm 0.025 0.975 0.173
4 Pm 0.105 0.895 0.895
5 Pm 0.190 0.810 0.203
6 Pm 0.242 0.758 0.566
7 Pm 0.491 0.509 0.393
8 Pm 0.509 0.491 0.893
9 Pm 0.758 0.242 0.066
10 Pm 0.810 0.190 0.703
11 Pm 0.895 0.105 0.395
12 Pm 0.975 0.025 0.673
13 Dy 0.327 0.673 0.252
14 Dy 0.388 0.612 0.640
15 Dy 0.612 0.388 0.140
16 Dy 0.673 0.327 0.752
17 Y 0.264 0.736 0.892
18 Y 0.736 0.264 0.392

***

# 12
Here is an optimized crystal structure of AcPmDyY from Alexandria via LeMat-Bulk. Energies are from PBE.

Computed properties:
ρ   7.18 Mg/m³
Relative energy among the computed polymorphs   40.3 kJ/mol of formula units
Size of the total moment   0.00 μB/f.u.
Symmetry   No. 25
Energy relative to the elements   216 meV/atom
Density of states at the Fermi level   1.821 states/eV per atom

a b c (Å): 3.539 5.787 7.044
angles (deg): 90.00 90.00 90.00
Fractional coordinates of all 4 atoms:
1 Ac 0.000 0.000 0.000
2 Pm 0.500 0.500 0.263
3 Dy 0.000 0.000 0.487
4 Y 0.000 0.500 0.728